Record 1
A geometry-optimized AgSeS2N structure, computed with GGA-PBEsol.

Lattice parameters (Å, degrees): 4.834 4.834 3.876 90.00 90.00 90.00
Space group P4/mmm (No. 123)
Symmetry-distinct sites (fractional):
Ag1 0.000 0.000 0.000 (multiplicity 1)
Se1 0.500 0.500 0.500 (multiplicity 1)
S1 0.000 0.500 0.000 (multiplicity 2)
N1 0.000 0.000 0.500 (multiplicity 1)

Properties
The value obtained for the energy is -17.8 eV per cell. The uncorrected formation energy comes out at 1.3330 eV/atom. The value obtained for the density of states at the Fermi level is 2.96 states/eV per cell.

Record 2
A geometry-optimized AgSe2SN structure, computed with GGA-PBEsol.

Lattice parameters (Å, degrees): 5.129 5.129 3.227 90.00 90.00 90.00
Space group P4/mmm (No. 123)
Symmetry-distinct sites (fractional):
Ag1 0.000 0.000 0.000 (multiplicity 1)
Se1 0.000 0.500 0.500 (multiplicity 2)
S1 0.500 0.500 0.500 (multiplicity 1)
N1 0.500 0.500 0.000 (multiplicity 1)

Properties
The value obtained for the energy is -20.0 eV per cell. The uncorrected formation energy comes out at 0.7810 eV/atom. The value obtained for the density of states at the Fermi level is 4.31 states/eV per cell.

Record 3
A geometry-optimized SrAgS2N structure, computed with GGA-PBEsol.

Lattice parameters (Å, degrees): 4.945 4.945 4.027 90.00 90.00 90.00
Space group P4/mmm (No. 123)
Symmetry-distinct sites (fractional):
Sr1 0.000 0.000 0.000 (multiplicity 1)
Ag1 0.500 0.500 0.500 (multiplicity 1)
S1 0.000 0.500 0.500 (multiplicity 2)
N1 0.500 0.500 0.000 (multiplicity 1)

Properties
The value obtained for the energy is -22.4 eV per cell. The uncorrected formation energy comes out at 0.0155 eV/atom. The value obtained for the density of states at the Fermi level is 2.21 states/eV per cell.

Record 4
A geometry-optimized TcAgSN2 structure, computed with GGA-PBEsol.

Lattice parameters (Å, degrees): 3.745 3.745 5.074 90.00 90.00 90.00
Space group P4/mmm (No. 123)
Symmetry-distinct sites (fractional):
Tc1 0.000 0.000 0.000 (multiplicity 1)
Ag1 0.500 0.500 0.500 (multiplicity 1)
S1 0.000 0.000 0.500 (multiplicity 1)
N1 0.000 0.500 0.000 (multiplicity 2)

Properties
The value obtained for the energy is -33.9 eV per cell. The uncorrected formation energy comes out at 0.4250 eV/atom. The value obtained for the density of states at the Fermi level is 2.48 states/eV per cell. The value obtained for the offset from the most stable computed form is 0 meV per atom.

Copy entry 2 word for word.
A geometry-optimized AgSe2SN structure, computed with GGA-PBEsol.

Lattice parameters (Å, degrees): 5.129 5.129 3.227 90.00 90.00 90.00
Space group P4/mmm (No. 123)
Symmetry-distinct sites (fractional):
Ag1 0.000 0.000 0.000 (multiplicity 1)
Se1 0.000 0.500 0.500 (multiplicity 2)
S1 0.500 0.500 0.500 (multiplicity 1)
N1 0.500 0.500 0.000 (multiplicity 1)

Properties
The value obtained for the energy is -20.0 eV per cell. The uncorrected formation energy comes out at 0.7810 eV/atom. The value obtained for the density of states at the Fermi level is 4.31 states/eV per cell.